# 1
Here is a relaxed structure of Sc3TlS from the Alexandria database. Energies are from GGA-PBE.

Magnetic moment (μB/f.u.): 0.24
Distance to the lowest polymorph of the same formula (meV per atom): 758
Energy (eV/atom): -5.2836

Unit cell a=5.061 b=5.061 c=6.093 alpha=90.00 beta=90.00 gamma=90.00
Fractional coordinates of all 5 atoms:
1 Sc 0.000 0.000 0.000
2 Sc 0.000 0.500 0.687
3 Sc 0.500 0.000 0.687
4 Tl 0.000 0.000 0.464
5 S 0.500 0.500 0.763

# 2
Here is a relaxed structure of Sc3TlS from the Alexandria database. Energies are from GGA-PBE.

Magnetic moment (μB/f.u.): 0.00
Distance to the lowest polymorph of the same formula (meV per atom): 43
Energy (eV/atom): -5.9984

Unit cell a=6.460 b=6.460 c=10.847 alpha=117.65 beta=117.65 gamma=33.49
Fractional coordinates of all 10 atoms:
1 Sc 0.000 0.000 0.000
2 Sc 0.172 0.172 0.350
3 Sc 0.244 0.244 0.851
4 Sc 0.500 0.500 0.500
5 Sc 0.756 0.756 0.149
6 Sc 0.828 0.828 0.650
7 Tl 0.459 0.459 0.185
8 Tl 0.541 0.541 0.815
9 S 0.167 0.167 0.582
10 S 0.833 0.833 0.418

# 3
Here is a relaxed structure of Sc3TlS from the Alexandria database. Energies are from GGA-PBE.

Magnetic moment (μB/f.u.): 0.00
Distance to the lowest polymorph of the same formula (meV per atom): 410
Energy (eV/atom): -5.6318

Unit cell a=9.019 b=9.019 c=9.019 alpha=60.00 beta=60.00 gamma=60.00
Fractional coordinates of all 20 atoms:
1 Sc 0.086 0.086 0.664
2 Sc 0.086 0.664 0.086
3 Sc 0.086 0.664 0.664
4 Sc 0.336 0.336 0.914
5 Sc 0.336 0.914 0.336
6 Sc 0.336 0.914 0.914
7 Sc 0.664 0.086 0.086
8 Sc 0.664 0.086 0.664
9 Sc 0.664 0.664 0.086
10 Sc 0.914 0.336 0.336
11 Sc 0.914 0.336 0.914
12 Sc 0.914 0.914 0.336
13 Tl 0.000 0.500 0.500
14 Tl 0.500 0.000 0.500
15 Tl 0.500 0.500 0.000
16 Tl 0.500 0.500 0.500
17 S 0.000 0.000 0.000
18 S 0.000 0.000 0.500
19 S 0.000 0.500 0.000
20 S 0.500 0.000 0.000

# 4
Here is a relaxed structure of Sc3TlS from the Alexandria database. Energies are from GGA-PBE.

Magnetic moment (μB/f.u.): 0.77
Distance to the lowest polymorph of the same formula (meV per atom): 599
Energy (eV/atom): -5.4420

Unit cell a=6.228 b=6.228 c=6.228 alpha=82.59 beta=82.59 gamma=82.59
Fractional coordinates of all 10 atoms:
1 Sc 0.053 0.750 0.447
2 Sc 0.250 0.553 0.947
3 Sc 0.447 0.053 0.750
4 Sc 0.553 0.947 0.250
5 Sc 0.750 0.447 0.053
6 Sc 0.947 0.250 0.553
7 Tl 0.000 0.000 0.000
8 Tl 0.500 0.500 0.500
9 S 0.250 0.250 0.250
10 S 0.750 0.750 0.750

# 5
Here is a relaxed structure of Sc2TlS from the Alexandria database. Energies are from GGA-PBE.

Magnetic moment (μB/f.u.): 0.00
Distance to the lowest polymorph of the same formula (meV per atom): 304
Energy (eV/atom): -5.6026

Unit cell a=9.170 b=9.170 c=9.170 alpha=22.17 beta=22.17 gamma=22.17
Fractional coordinates of all 4 atoms:
1 Sc 0.111 0.111 0.111
2 Sc 0.889 0.889 0.889
3 Tl 0.000 0.000 0.000
4 S 0.500 0.500 0.500

# 6
Here is a relaxed structure of Sc3TlS from the Alexandria database. Energies are from GGA-PBE.

Magnetic moment (μB/f.u.): 1.51
Distance to the lowest polymorph of the same formula (meV per atom): 346
Energy (eV/atom): -5.6957

Unit cell a=4.722 b=4.722 c=13.529 alpha=90.00 beta=90.00 gamma=120.00
Fractional coordinates of all 10 atoms:
1 Sc 0.000 0.000 0.250
2 Sc 0.000 0.000 0.750
3 Sc 0.333 0.667 0.069
4 Sc 0.333 0.667 0.431
5 Sc 0.667 0.333 0.569
6 Sc 0.667 0.333 0.931
7 Tl 0.000 0.000 0.000
8 Tl 0.000 0.000 0.500
9 S 0.333 0.667 0.250
10 S 0.667 0.333 0.750

# 7
Here is a relaxed structure of Sc2TlS3 from the Alexandria database. Energies are from GGA-PBE.

Magnetic moment (μB/f.u.): 0.00
Energy (eV/atom): -5.9590

Unit cell a=7.713 b=7.713 c=10.235 alpha=90.00 beta=90.00 gamma=151.55
Fractional coordinates of all 12 atoms:
1 Sc 0.000 0.000 0.000
2 Sc 0.000 0.000 0.500
3 Sc 0.392 0.608 0.750
4 Sc 0.608 0.392 0.250
5 Tl 0.278 0.722 0.250
6 Tl 0.722 0.278 0.750
7 S 0.000 0.000 0.250
8 S 0.000 0.000 0.750
9 S 0.380 0.620 0.506
10 S 0.380 0.620 0.994
11 S 0.620 0.380 0.006
12 S 0.620 0.380 0.494

# 8
Here is a relaxed structure of Sc3TlS from the Alexandria database. Energies are from GGA-PBE.

Magnetic moment (μB/f.u.): 0.00
Distance to the lowest polymorph of the same formula (meV per atom): 101
Energy (eV/atom): -5.9407

Unit cell a=4.824 b=4.824 c=4.824 alpha=90.00 beta=90.00 gamma=90.00
Fractional coordinates of all 5 atoms:
1 Sc 0.000 0.000 0.500
2 Sc 0.000 0.500 0.000
3 Sc 0.500 0.000 0.000
4 Tl 0.500 0.500 0.500
5 S 0.000 0.000 0.000

N(E_F)? In order: 3.82 10.88 31.07 13.59 3.69 9.58 4.07 2.71 states/eV per cell.
ΔE_f (raw)? In order: -0.19 -0.90 -0.53 -0.34 -0.81 -0.60 -1.39 -0.84 eV/atom.